KMg2InCu | PBE-GGA | optimized geometry

Values from the calculation:
total DFT energy (no corrections) = -2.17 eV/atom
V = 135.4 Å³ per cell
formation energy from the elements = 0.3 eV per formula unit

Geometry as extended XYZ:
```
5
Lattice="-4.257 -2.788 -0.812 2.714 -3.308 -2.870 1.021 -2.771 4.159" Properties=species:S:1:pos:R:3 pbc="T T T"
Mg -2.128 -1.394 -0.406
Mg 1.357 -1.654 -1.435
In 0.511 -1.385 2.080
Cu 0.000 0.000 0.000
K -0.261 -4.433 0.239
```